## Pm6CoIr2Br3 (PBE)

Data for a relaxed structure of Pm6CoIr2Br3.

Summary:
Total moment ... 0.000 μB/atom
N(E_F) ... 3.41 states/eV/f.u.
Formation energy (no corrections) ... -0.98 eV/atom

Structure (CIF):
```
data_Pm6CoIr2Br3
_space_group_name_H-M_alt 'C 1 2/m 1'
_space_group_IT_number 12
_cell_length_a 7.077
_cell_length_b 12.261
_cell_length_c 8.094
_cell_angle_alpha 90.00
_cell_angle_beta 106.91
_cell_angle_gamma 90.00
loop_
_space_group_symop_operation_xyz
'x,y,z'
'-x,-y,-z'
'-x,y,-z'
'x,-y,z'
'x+1/2,y+1/2,z'
'-x+1/2,-y+1/2,-z'
'-x+1/2,y+1/2,-z'
'x+1/2,-y+1/2,z'
loop_
_atom_site_label
_atom_site_type_symbol
_atom_site_fract_x
_atom_site_fract_y
_atom_site_fract_z
_atom_site_occupancy
Pm1 Pm 0.226 0.162 0.193 1
Pm2 Pm 0.241 0.500 0.194 1
Co1 Co 0.000 0.000 0.000 1
Ir1 Ir 0.000 0.333 0.000 1
Br1 Br 0.000 0.165 0.500 1
Br2 Br 0.000 0.500 0.500 1
```

=====

## TlZnRu2 (PBE)

Data for a relaxed structure of TlZnRu2.

Summary:
Total moment ... 0.001 μB/atom
Energy of formation ... 0.5627 eV per atom
N(E_F) ... 3.95 states/eV/f.u.
Excess energy over the best structure of this formula in the dataset ... 0.3125 eV per atom

Structure (CIF):
```
data_TlZnRu2
_space_group_name_H-M_alt 'C m m m'
_space_group_IT_number 65
_space_group_name_Hall '-C 2 2'
_cell_length_a 3.055
_cell_length_b 4.908
_cell_length_c 8.810
_cell_angle_alpha 90.00
_cell_angle_beta 90.00
_cell_angle_gamma 90.00
loop_
_atom_site_label
_atom_site_type_symbol
_atom_site_fract_x
_atom_site_fract_y
_atom_site_fract_z
_atom_site_occupancy
Tl1 Tl 0.000 0.000 0.000 1
Zn1 Zn 0.000 0.000 0.500 1
Ru1 Ru 0.000 0.500 0.266 1
```

=====

## BaMnBe (PBE)

Data for a relaxed structure of BaMnBe.

Summary:
Total moment ... 0.984 μB/atom
Energy of formation ... 0.5858 eV per atom
N(E_F) ... 2.85 states/eV/f.u.
Excess energy over the best structure of this formula in the dataset ... 0.0000 eV per atom

Structure (CIF):
```
data_BaMnBe
_space_group_name_H-M_alt 'P -6 m 2'
_space_group_IT_number 187
_space_group_name_Hall 'P -6 2'
_cell_length_a 4.2075
_cell_length_b 4.2075
_cell_length_c 4.9274
_cell_angle_alpha 90.00
_cell_angle_beta 90.00
_cell_angle_gamma 120.00
loop_
_atom_site_label
_atom_site_type_symbol
_atom_site_fract_x
_atom_site_fract_y
_atom_site_fract_z
_atom_site_occupancy
Ba1 Ba 0.0000 0.0000 0.0000 1
Mn1 Mn 0.3333 0.6667 0.5000 1
Be1 Be 0.6667 0.3333 0.5000 1
```